w:
VASP calculation (GGA-PBE) on a relaxed SrCo2Te2 crystal.

Unit cell a=4.8725 b=4.8725 c=5.7428 alpha=64.90 beta=64.90 gamma=90.00
With the nearest neighbours (Å) after each atom.
Atoms (fractional coordinates):
Sr: 0.0000 0.0000 0.0000  8 Te 3.35, 10 Co 3.37-3.66
Te: 0.7500 0.2500 0.5000  4 Co 2.66
Te: 0.2500 0.7500 0.5000  4 Co 2.66
Co: 0.3672 0.3672 0.2656  1 Co 2.44, 4 Te 2.66
Co: 0.6328 0.6328 0.7344  1 Co 2.44, 4 Te 2.66

Output
Calculated volume in A^3/atom: 21.82
Fermi-level density of states in states/eV/atom: 1.10
SG: No. 139

***

x:
VASP calculation (GGA-PBE) on a relaxed SrCo2Te2 crystal.

Unit cell a=4.1892 b=4.1892 c=7.0358 alpha=72.68 beta=72.68 gamma=90.00
With the nearest neighbours (Å) after each atom.
Atoms (fractional coordinates):
Sr: 0.0000 0.0000 0.0000  8 Te 3.46, 8 Co 3.82
Te: 0.3592 0.3592 0.2816  4 Co 2.52
Te: 0.6408 0.6408 0.7184  4 Co 2.52
Co: 0.7500 0.2500 0.5000  4 Te 2.52
Co: 0.2500 0.7500 0.5000  4 Te 2.52

Output
Calculated volume in A^3/atom: 22.40
Fermi-level density of states in states/eV/atom: 0.82
SG: No. 139

***

The structure with the most favorable energy is x; the runner-up is 204 meV/atom above it.

***

w:
VASP calculation (GGA-PBE) on a relaxed SrCoTe crystal.

Unit cell a=4.3188 b=7.4725 c=9.3070 alpha=90.00 beta=90.00 gamma=90.00
With the nearest neighbours (Å) after each atom.
Atoms (fractional coordinates):
Te: 0.7500 0.4164 0.2499  3 Co 2.49
Te: 0.7500 0.0836 0.7499  3 Co 2.49
Te: 0.2500 0.9164 0.2501  3 Co 2.49
Te: 0.2500 0.5836 0.7501  3 Co 2.49
Co: 0.2500 0.9170 0.7500  3 Te 2.49
Co: 0.2500 0.5830 0.2500  3 Te 2.49
Co: 0.7500 0.4170 0.7500  3 Te 2.49
Co: 0.7500 0.0830 0.2500  3 Te 2.49
Sr: 0.2500 0.2499 0.0000  6 Co 3.41, 6 Te 3.41
Sr: 0.2500 0.2501 0.5000  6 Co 3.41, 6 Te 3.41
Sr: 0.7500 0.7499 0.5000  6 Co 3.41, 6 Te 3.41
Sr: 0.7500 0.7501 0.0000  6 Co 3.41, 6 Te 3.41

Output
Calculated volume in A^3/atom: 25.03
Fermi-level density of states in states/eV/atom: 0.84
SG: No. 194

***

x:
VASP calculation (GGA-PBE) on a relaxed SrCoTe crystal.

Unit cell a=6.1345 b=6.1356 c=3.6680 alpha=72.59 beta=72.62 gamma=34.79
With the nearest neighbours (Å) after each atom.
Atoms (fractional coordinates):
Co: 0.0467 0.0467 0.9533  4 Te 2.72
Sr: 0.3327 0.3327 0.6673  5 Co 3.18-3.52, 5 Te 3.20-3.51
Te: 0.6206 0.6206 0.3794  4 Co 2.72

Output
Calculated volume in A^3/atom: 24.93
Fermi-level density of states in states/eV/atom: 1.43
SG: No. 107

***

The structure with the most favorable energy is w; the runner-up is 476 meV/atom above it.